No. 1
A geometry-optimized TlCu2Au structure, computed with PBE.

Cell: 5.0963 5.0963 5.0963 Å, 134.09 134.09 66.94°
Closest atoms and distances in Å follow each position.
Atoms (fractional coordinates):
Cu (0.2500, 0.7500, 0.5000)  4 Au 2.81, 4 Cu 2.91, 4 Tl 2.91
Tl (0.5000, 0.5000, 0.0000)  8 Cu 2.81-2.91, 4 Au 2.91
Au (0.7500, 0.2500, 0.5000)  8 Cu 2.81-2.91, 4 Tl 2.91
Cu (0.0000, 0.0000, 0.0000)  4 Tl 2.81, 4 Cu 2.91, 4 Au 2.91

Summary:
- M_tot (μB per formula unit) = 0.0

=====

No. 2
A geometry-optimized Tl2Cu2Au structure, computed with PBE.

Cell: 4.3444 4.3444 6.5463 Å, 70.62 70.62 90.00°
Closest atoms and distances in Å follow each position.
Atoms (fractional coordinates):
Au (0.0000, 0.0000, 0.0000)  8 Cu 3.28, 8 Tl 3.62
Tl (0.2500, 0.7500, 0.5000)  4 Cu 2.78, 4 Tl 3.07
Tl (0.7500, 0.2500, 0.5000)  4 Cu 2.78, 4 Tl 3.07
Cu (0.4005, 0.4005, 0.1990)  1 Cu 2.30
Cu (0.5995, 0.5995, 0.8010)  1 Cu 2.30

Summary:
- relative energy among the computed polymorphs (kJ/mol of formula units) = 155
- M_tot (μB per formula unit) = 0.0

=====

| no. | DFT total energy (eV/atom) | E_form (eV/atom) |
| --- | --- | --- |
| 1 | -3.29 | 0.1720 |
| 2 | -2.75 | 0.4905 |